Record 1
Material: Pr2Y5Ho2
Method: DFT, GGA-PBE
State: relaxed

- Calculated formation energy: 0.2236 eV/atom
- Total moment: 0.000 μB per atom
- SG: Ima2 (46)
- Total DFT energy (no corrections): -49.02 eV/f.u.

Cell: 11.876 6.795 10.156 Å, 109.55 125.78 90.00°
Positions (direct):
Pr1 0.000 0.011 0.000
Pr2 0.500 0.511 0.000
Pr3 0.259 0.358 0.500
Pr4 0.741 0.858 0.500
Y1 0.204 0.652 0.895
Y2 0.796 0.757 0.105
Y3 0.191 0.152 0.895
Y4 0.809 0.257 0.105
Y5 0.377 0.039 0.285
Y6 0.623 0.754 0.715
Y7 0.408 0.539 0.285
Y8 0.592 0.254 0.715
Y9 0.003 0.649 0.500
Y10 0.997 0.149 0.500
Ho1 0.123 0.685 0.254
Ho2 0.877 0.431 0.746
Ho3 0.630 0.185 0.254
Ho4 0.370 0.931 0.746

Record 2
Material: PrY12Ho6
Method: DFT, GGA-PBE
State: relaxed

- Calculated formation energy: 0.1514 eV/atom
- Total moment: 0.000 μB per atom
- SG: R-3 (148)
- Total DFT energy (no corrections): -106.94 eV/f.u.

Cell: 8.557 8.557 8.557 Å, 88.07 88.07 88.07°
Positions (direct):
Pr1 0.000 0.000 0.000
Y1 0.775 0.544 0.436
Y2 0.436 0.775 0.544
Y3 0.544 0.436 0.775
Y4 0.225 0.456 0.564
Y5 0.564 0.225 0.456
Y6 0.456 0.564 0.225
Y7 0.009 0.206 0.358
Y8 0.794 0.642 0.991
Y9 0.642 0.991 0.794
Y10 0.991 0.794 0.642
Y11 0.206 0.358 0.009
Y12 0.358 0.009 0.206
Ho1 0.744 0.908 0.311
Ho2 0.689 0.256 0.092
Ho3 0.092 0.689 0.256
Ho4 0.256 0.092 0.689
Ho5 0.311 0.744 0.908
Ho6 0.908 0.311 0.744